1) Here is crystalline CePr2Cu at its relaxed geometry from Alexandria via LeMat-Bulk. Energies are from PBE-GGA.

POSCAR file:
```
CePr2Cu
1.0
3.450 0.000 0.000
-1.725 2.988 0.000
0.000 0.000 33.721
Ce Pr Cu
3 6 3
Direct
0.000 0.000 0.000
0.333 0.667 0.667
0.667 0.333 0.333
0.000 0.000 0.100
0.000 0.000 0.900
0.333 0.667 0.566
0.333 0.667 0.767
0.667 0.333 0.233
0.667 0.333 0.434
0.000 0.000 0.500
0.333 0.667 0.167
0.667 0.333 0.833
```

Values from the calculation:
Spin magnetization = 0.683 μB/f.u.
Density = 7.0 Mg/m³

***

2) Here is crystalline CePr2Cu at its relaxed geometry from Alexandria via LeMat-Bulk. Energies are from PBE-GGA.

POSCAR file:
```
CePr2Cu
1.0
3.628 0.000 0.000
0.000 3.628 0.000
0.000 0.000 8.469
Ce Pr Cu
1 2 1
Direct
0.000 0.000 0.000
0.500 0.500 0.289
0.500 0.500 0.711
0.000 0.000 0.500
```

Values from the calculation:
Spin magnetization = 0.576 μB/f.u.
Density = 7.2 Mg/m³

***

3) Here is crystalline CePr2Cu at its relaxed geometry from Alexandria via LeMat-Bulk. Energies are from PBE-GGA.

POSCAR file:
```
CePr2Cu
1.0
3.670 0.000 0.000
-1.835 3.178 0.000
0.000 0.000 30.653
Ce Pr Cu
3 6 3
Direct
0.000 0.000 0.000
0.333 0.667 0.667
0.667 0.333 0.333
0.000 0.000 0.235
0.000 0.000 0.430
0.333 0.667 0.097
0.333 0.667 0.902
0.667 0.333 0.568
0.667 0.333 0.764
0.000 0.000 0.833
0.333 0.667 0.499
0.667 0.333 0.166
```

Values from the calculation:
Spin magnetization = 1.371 μB/f.u.
Density = 6.8 Mg/m³

***

4) Here is crystalline CePr2Cu at its relaxed geometry from Alexandria via LeMat-Bulk. Energies are from PBE-GGA.

POSCAR file:
```
CePr2Cu
1.0
5.542 0.000 0.000
0.000 5.542 0.000
0.000 0.000 3.507
Ce Pr Cu
1 2 1
Direct
0.000 0.000 0.000
0.000 0.500 0.500
0.500 0.000 0.500
0.500 0.500 0.000
```

Values from the calculation:
Spin magnetization = 0.006 μB/f.u.
Density = 7.5 Mg/m³

***

Most stable structure among those shown: 2).